Here is an optimized crystal structure of ZnFeHRh2 from Alexandria. Energies are from GGA-PBE.

abc: 3.981 3.981 3.630
angles: 90.00 90.00 90.00
Fractional positions:
1 Zn 0.000 0.000 0.000
2 Fe 0.500 0.500 0.000
3 H 0.500 0.500 0.500
4 Rh 0.000 0.500 0.500
5 Rh 0.500 0.000 0.500

Output
- Offset from the most stable computed form: 0.000 eV/atom
- SG: P4/mmm (123)
- VASP energy: -28.44 eV/cell
- Magnetic moment: 4.1 μB per formula unit

=====

Here is an optimized crystal structure of ZnFeHRh2 from Alexandria. Energies are from GGA-PBE.

abc: 4.008 4.008 3.603
angles: 90.00 90.00 90.00
Fractional positions:
1 Zn 0.000 0.000 0.000
2 Fe 0.500 0.500 0.000
3 H 0.000 0.000 0.500
4 Rh 0.000 0.500 0.500
5 Rh 0.500 0.000 0.500

Output
- Offset from the most stable computed form: 0.092 eV/atom
- SG: P4/mmm (123)
- VASP energy: -27.98 eV/cell
- Magnetic moment: 4.3 μB per formula unit

=====

Here is an optimized crystal structure of ZrFeHRh2 from Alexandria. Energies are from GGA-PBE.

abc: 4.024 4.024 3.884
angles: 90.00 90.00 90.00
Fractional positions:
1 Zr 0.000 0.000 0.000
2 Fe 0.500 0.500 0.000
3 H 0.500 0.500 0.500
4 Rh 0.000 0.500 0.500
5 Rh 0.500 0.000 0.500

Output
- Offset from the most stable computed form: 0.000 eV/atom
- SG: P4/mmm (123)
- VASP energy: -37.21 eV/cell
- Magnetic moment: 2.6 μB per formula unit

=====

Here is an optimized crystal structure of ZrFeHRh2 from Alexandria. Energies are from GGA-PBE.

abc: 3.960 3.960 4.072
angles: 90.00 90.00 90.00
Fractional positions:
1 Zr 0.000 0.000 0.000
2 Fe 0.500 0.500 0.000
3 H 0.000 0.000 0.500
4 Rh 0.000 0.500 0.500
5 Rh 0.500 0.000 0.500

Output
- Offset from the most stable computed form: 0.069 eV/atom
- SG: P4/mmm (123)
- VASP energy: -36.87 eV/cell
- Magnetic moment: 2.6 μB per formula unit